Below is a relaxed structure of PaZnAgO4, with properties calculated at the PBE-GGA level.

Lattice parameters (Å, degrees): 6.124 7.338 9.062 90.00 90.00 90.00
Space group Imma (No. 74)
Asymmetric unit:
Pa  0.000  0.000  0.000
Zn  0.000  0.250  0.360
Ag  0.250  0.250  0.750
O  0.000  0.033  0.227
O  0.230  0.250  0.006

Output
Spin magnetization in μB per atom: 0.00
Energy relative to the elements, uncorrected in eV/atom: -2.0858
VASP energy in eV per atom: -6.86